Li3Tc: relaxed, GGA-PBEsol.

Structure (CIF):
```
data_Li3Tc
_cell_length_a 2.403
_cell_length_b 9.239
_cell_length_c 5.111
_cell_angle_alpha 90.00
_cell_angle_beta 90.00
_cell_angle_gamma 90.00
_space_group_name_H-M_alt 'I m m 2'
_space_group_IT_number 44
loop_
_space_group_symop_operation_xyz
'x,y,z'
'-x,-y,z'
'-x,y,z'
'x,-y,z'
'x+1/2,y+1/2,z+1/2'
'-x+1/2,-y+1/2,z+1/2'
'-x+1/2,y+1/2,z+1/2'
'x+1/2,-y+1/2,z+1/2'
loop_
_atom_site_label
_atom_site_fract_x
_atom_site_fract_y
_atom_site_fract_z
_atom_site_occupancy
Li1 0.000 0.000 0.000 1
Li2 0.000 0.247 0.724 1
Tc1 0.000 0.500 0.000 1
```

Properties
ΔH_f (0 K) ... 0.328 eV per atom
Density ... 3477 kg/m³
Total energy ... -15.85 eV/f.u.
Excess energy over the best structure of this formula in the dataset ... 0.0 meV per atom


NaVCdO4: relaxed, GGA-PBEsol.

Structure (CIF):
```
data_NaVCdO4
_cell_length_a 6.052
_cell_length_b 9.313
_cell_length_c 6.779
_cell_angle_alpha 90.00
_cell_angle_beta 90.00
_cell_angle_gamma 90.00
_space_group_name_H-M_alt 'C m c m'
_space_group_IT_number 63
_space_group_name_Hall '-C 2c 2'
loop_
_atom_site_label
_atom_site_fract_x
_atom_site_fract_y
_atom_site_fract_z
_atom_site_occupancy
Na1 0.000 0.000 0.000 1
V1 0.000 0.360 0.250 1
Cd1 0.000 0.323 0.750 1
O1 0.000 0.251 0.045 1
O2 0.227 0.471 0.250 1
```

Properties
Density ... 4352 kg/m³
Uncorrected formation energy ... -1.912 eV per atom
Total energy ... -46.61 eV/f.u.


LuAl4Ni: relaxed, GGA-PBEsol.

Structure (CIF):
```
data_LuAl4Ni
_cell_length_a 3.995
_cell_length_b 15.046
_cell_length_c 6.565
_cell_angle_alpha 90.00
_cell_angle_beta 90.00
_cell_angle_gamma 90.00
_space_group_name_H-M_alt 'C m c m'
_space_group_IT_number 63
_space_group_name_Hall '-C 2c 2'
loop_
_atom_site_label
_atom_site_fract_x
_atom_site_fract_y
_atom_site_fract_z
_atom_site_occupancy
Lu1 0.000 0.121 0.250 1
Al1 0.000 0.074 0.750 1
Al2 0.000 0.313 0.052 1
Al3 0.000 0.500 0.000 1
Ni1 0.000 0.227 0.750 1
```

Properties
ΔH_f (0 K) ... -0.531 eV per atom
Density ... 5748 kg/m³
Total energy ... -30.58 eV/f.u.


TiRu3I: relaxed, GGA-PBEsol.

Structure (CIF):
```
data_TiRu3I
_cell_length_a 4.530
_cell_length_b 4.530
_cell_length_c 4.530
_cell_angle_alpha 90.00
_cell_angle_beta 90.00
_cell_angle_gamma 90.00
_space_group_name_H-M_alt 'P m -3 m'
_space_group_IT_number 221
_space_group_name_Hall '-P 4 2 3'
loop_
_atom_site_label
_atom_site_fract_x
_atom_site_fract_y
_atom_site_fract_z
_atom_site_occupancy
Ti1 0.000 0.000 0.000 1
Ru1 0.000 0.000 0.500 1
I1 0.500 0.500 0.500 1
```

Properties
Density ... 8539 kg/m³
Uncorrected formation energy ... 1.441 eV per atom
Total energy ... -33.40 eV/f.u.


NiH2Ir2: relaxed, GGA-PBEsol.

Structure (CIF):
```
data_NiH2Ir2
_cell_length_a 2.924
_cell_length_b 2.924
_cell_length_c 10.587
_cell_angle_alpha 90.00
_cell_angle_beta 90.00
_cell_angle_gamma 90.00
_space_group_name_H-M_alt 'I 4/m m m'
_space_group_IT_number 139
_space_group_name_Hall '-I 4 2'
loop_
_atom_site_label
_atom_site_fract_x
_atom_site_fract_y
_atom_site_fract_z
_atom_site_occupancy
Ni1 0.000 0.000 0.000 1
H1 0.000 0.500 0.250 1
Ir1 0.000 0.000 0.363 1
```

Properties
Density ... 16333 kg/m³
Total energy ... -31.03 eV/f.u.


KBr2Cl2: relaxed, GGA-PBEsol.

Structure (CIF):
```
data_KBr2Cl2
_cell_length_a 5.672
_cell_length_b 5.672
_cell_length_c 9.912
_cell_angle_alpha 90.00
_cell_angle_beta 90.00
_cell_angle_gamma 90.00
_space_group_name_H-M_alt 'I 4/m m m'
_space_group_IT_number 139
_space_group_name_Hall '-I 4 2'
loop_
_atom_site_label
_atom_site_fract_x
_atom_site_fract_y
_atom_site_fract_z
_atom_site_occupancy
K1 0.000 0.000 0.000 1
Br1 0.000 0.000 0.384 1
Cl1 0.000 0.500 0.250 1
```

Properties
Density ... 2810 kg/m³
Uncorrected formation energy ... -0.396 eV per atom
Total energy ... -10.87 eV/f.u.


> Which formula does entry 5 have?

NiH2Ir2


> Which of these has the highest total energy?

KBr2Cl2